The following is a PBE calculation of a relaxed structure of BaGaN, from Alexandria via LeMat-Bulk.

Properties
V, Å³ per atom: 24.00
SG: Pm (6)
E, eV per cell: -28.39
Magnetization, μB per cell: 0.0
ΔE_f (raw), eV/f.u.: -0.920

Unit cell a=3.960 b=4.411 c=8.263 alpha=90.00 beta=93.95 gamma=90.00
Element x y z (fractional)
1 Ba 0.000 0.000 0.000
2 Ba 0.064 0.500 0.600
3 Ga 0.468 0.000 0.377
4 Ga 0.567 0.500 0.223
5 N 0.428 0.000 0.758
6 N 0.582 0.000 0.627